The following is a PBE-GGA calculation of crystalline TcMo2H2 at its relaxed geometry, from Alexandria.

```
data_TcMo2H2
_chemical_formula_sum 'Tc2 Mo4 H4'
_space_group_name_H-M_alt 'I 4/m m m'
_space_group_IT_number 139
_space_group_name_Hall '-I 4 2'
_cell_length_a 4.420
_cell_length_b 4.420
_cell_length_c 5.813
_cell_angle_alpha 90.00
_cell_angle_beta 90.00
_cell_angle_gamma 90.00
loop_
_atom_site_label
_atom_site_fract_x
_atom_site_fract_y
_atom_site_fract_z
Tc1 0.000 0.000 0.000
Mo1 0.000 0.500 0.250
H1 0.000 0.000 0.308
```

total magnetization = 0.00 Bohr magnetons per cell
D(E_F) = 4.86 states/eV per cell
E above lowest polymorph = 0.26 eV per formula unit
E_tot = -7.41 eV/atom

The following is a PBE-GGA calculation of crystalline TbSc2Pd8 at its relaxed geometry, from Alexandria.

```
data_TbSc2Pd8
_chemical_formula_sum 'Tb2 Sc4 Pd16'
_space_group_name_H-M_alt 'C 1 2/m 1'
_space_group_IT_number 12
_cell_length_a 14.597
_cell_length_b 4.102
_cell_length_c 6.607
_cell_angle_alpha 90.00
_cell_angle_beta 107.84
_cell_angle_gamma 90.00
loop_
_space_group_symop_operation_xyz
'x,y,z'
'-x,-y,-z'
'-x,y,-z'
'x,-y,z'
'x+1/2,y+1/2,z'
'-x+1/2,-y+1/2,-z'
'-x+1/2,y+1/2,-z'
'x+1/2,-y+1/2,z'
loop_
_atom_site_label
_atom_site_fract_x
_atom_site_fract_y
_atom_site_fract_z
Tb1 0.000 0.000 0.000
Sc1 0.220 0.500 0.666
Pd1 0.042 0.500 0.717
Pd2 0.097 0.000 0.461
Pd3 0.146 0.500 0.197
Pd4 0.181 0.000 0.913
```

total magnetization = 0.00 Bohr magnetons per cell
D(E_F) = 11.20 states/eV per cell
E_tot = -6.12 eV/atom

The following is a PBE-GGA calculation of crystalline LiSiPd3 at its relaxed geometry, from Alexandria.

```
data_LiSiPd3
_chemical_formula_sum 'Li1 Si1 Pd3'
_space_group_name_H-M_alt 'P m -3 m'
_space_group_IT_number 221
_space_group_name_Hall '-P 4 2 3'
_cell_length_a 4.531
_cell_length_b 4.531
_cell_length_c 4.531
_cell_angle_alpha 90.00
_cell_angle_beta 90.00
_cell_angle_gamma 90.00
loop_
_atom_site_label
_atom_site_fract_x
_atom_site_fract_y
_atom_site_fract_z
Li1 0.000 0.000 0.000
Si1 0.500 0.500 0.500
Pd1 0.000 0.500 0.500
```

formation energy without anion corrections = -0.22 eV/atom
total magnetization = 0.00 Bohr magnetons per cell
D(E_F) = 4.92 states/eV per cell
E above lowest polymorph = 2.02 eV per formula unit
E_tot = -4.80 eV/atom

The following is a PBE-GGA calculation of crystalline NdZrAl at its relaxed geometry, from Alexandria.

```
data_NdZrAl
_chemical_formula_sum 'Nd3 Zr3 Al3'
_space_group_name_H-M_alt 'P -6 2 m'
_space_group_IT_number 189
_space_group_name_Hall 'P -6 -2'
_cell_length_a 7.5926
_cell_length_b 7.5926
_cell_length_c 4.6160
_cell_angle_alpha 90.00
_cell_angle_beta 90.00
_cell_angle_gamma 120.00
loop_
_atom_site_label
_atom_site_fract_x
_atom_site_fract_y
_atom_site_fract_z
Nd1 0.0000 0.4218 0.0000
Zr1 0.0000 0.7680 0.5000
Al1 0.0000 0.0000 0.0000
Al2 0.3333 0.6667 0.5000
```

total magnetization = 0.00 Bohr magnetons per cell
D(E_F) = 13.46 states/eV per cell
E above lowest polymorph = 0.00 eV per formula unit
E_tot = -5.87 eV/atom

The following is a PBE-GGA calculation of crystalline KHfBe3 at its relaxed geometry, from Alexandria.

```
data_KHfBe3
_chemical_formula_sum 'K1 Hf1 Be3'
_space_group_name_H-M_alt 'P m -3 m'
_space_group_IT_number 221
_space_group_name_Hall '-P 4 2 3'
_cell_length_a 4.437
_cell_length_b 4.437
_cell_length_c 4.437
_cell_angle_alpha 90.00
_cell_angle_beta 90.00
_cell_angle_gamma 90.00
loop_
_atom_site_label
_atom_site_fract_x
_atom_site_fract_y
_atom_site_fract_z
K1 0.000 0.000 0.000
Hf1 0.500 0.500 0.500
Be1 0.000 0.000 0.500
```

total magnetization = 0.00 Bohr magnetons per cell
D(E_F) = 2.63 states/eV per cell
E above lowest polymorph = 3.05 eV per formula unit
E_tot = -2.40 eV/atom

The following is a PBE-GGA calculation of crystalline Ti2SnHPb at its relaxed geometry, from Alexandria.

```
data_Ti2SnHPb
_chemical_formula_sum 'Ti2 Sn1 H1 Pb1'
_space_group_name_H-M_alt 'P 4/m m m'
_space_group_IT_number 123
_space_group_name_Hall '-P 4 2'
_cell_length_a 4.292
_cell_length_b 4.292
_cell_length_c 4.671
_cell_angle_alpha 90.00
_cell_angle_beta 90.00
_cell_angle_gamma 90.00
loop_
_atom_site_label
_atom_site_fract_x
_atom_site_fract_y
_atom_site_fract_z
Ti1 0.000 0.500 0.000
Sn1 0.000 0.000 0.500
H1 0.000 0.000 0.000
Pb1 0.500 0.500 0.500
```

total magnetization = 0.00 Bohr magnetons per cell
D(E_F) = 6.59 states/eV per cell
E_tot = -5.23 eV/atom